*A*
Computed, not measured: crystalline MnReRu2 at its relaxed geometry at the PBE level of DFT.

Cell lengths 2.6894, 2.6894, 8.7025 Å; angles 90.00, 90.00, 114.64 degrees
Last column: nearest neighbours and their distance in Å.
Positions (direct):
Ru (0.0000, 0.0000, 0.4937)  2 Mn 2.57, 2 Re 2.66, 4 Ru 2.69
Ru (0.0000, 0.0000, 0.0063)  2 Mn 2.57, 2 Re 2.66, 4 Ru 2.69
Re (0.5000, 0.5000, 0.7500)  4 Ru 2.66, 6 Re 2.69-2.90
Mn (0.5000, 0.5000, 0.2500)  4 Ru 2.57, 4 Mn 2.69

## Properties
Total moment (μB/cell): 3.7
D(E_F) (states/eV per atom): 1.47



*B*
Computed, not measured: crystalline MnReRu2 at its relaxed geometry at the PBE level of DFT.

Cell lengths 4.3236, 4.3236, 4.3236 Å; angles 60.00, 60.00, 60.00 degrees
Last column: nearest neighbours and their distance in Å.
Positions (direct):
Ru (0.2500, 0.2500, 0.2500)  4 Mn 2.65, 4 Re 2.65
Ru (0.7500, 0.7500, 0.7500)  4 Mn 2.65, 4 Re 2.65
Re (0.5000, 0.5000, 0.5000)  8 Ru 2.65
Mn (0.0000, 0.0000, 0.0000)  8 Ru 2.65

## Properties
Total moment (μB/cell): 4.0
D(E_F) (states/eV per atom): 1.18



Result of the stability comparison: *B* is the most stable of them.